Computed, not measured: an optimized crystal structure of SnPt3Br at the GGA-PBE level of DFT.

The space group is Pm-3m (No. 221) and the conventional cell measures 4.834, 4.834 and 4.834 Å, with angles of 90.00, 90.00 and 90.00 degrees. The asymmetric unit holds Sn at (0.000, 0.000, 0.000), Pt at (0.000, 0.500, 0.500) and Br at (0.500, 0.500, 0.500).

The calculated volume comes out at 112.95 Å³/cell. The calculation puts the density of states at the Fermi level at 3.60 states/eV/f.u. The calculation puts the calculated total energy at -3.884 eV/atom. As for the energy relative to the lowest polymorph listed for this composition: 0 meV/atom. The calculation puts the formation energy from raw total energies at 0.876 eV per atom.

---

Computed, not measured: an optimized crystal structure of KCr2Rh at the GGA-PBE level of DFT.

The space group is P4/mmm (No. 123) and the conventional cell measures 3.412, 3.412 and 7.427 Å, with angles of 90.00, 90.00 and 90.00 degrees. The asymmetric unit holds K at (0.000, 0.000, 0.000), Cr at (0.500, 0.500, 0.374) and Rh at (0.000, 0.000, 0.500).

The calculated volume comes out at 86.45 Å³/cell. The calculation puts the density of states at the Fermi level at 4.04 states/eV/f.u. The calculation puts the calculated total energy at -6.149 eV/atom. As for the energy relative to the lowest polymorph listed for this composition: 220 meV/atom. As for the energy relative to the elements: 0.7747 eV/atom.

---

Computed, not measured: an optimized crystal structure of LiCe4Te7 at the GGA-PBE level of DFT.

The space group is Cm (No. 8) and the conventional cell measures 14.405, 4.362 and 13.089 Å, with angles of 90.00, 104.73 and 90.00 degrees. The asymmetric unit holds Li at (0.000, 0.000, 0.000), Ce at (0.135, 0.000, 0.421), Ce at (0.235, 0.000, 0.871), Ce at (0.328, 0.500, 0.232), Ce at (0.440, 0.000, 0.644), Te at (0.094, 0.500, 0.902), Te at (0.098, 0.000, 0.644), Te at (0.163, 0.000, 0.198), Te at (0.296, 0.500, 0.485), Te at (0.357, 0.500, 0.786), Te at (0.394, 0.000, 0.083) and Te at (0.471, 0.000, 0.385).

The calculated volume comes out at 795.41 Å³/cell. The calculation puts the density of states at the Fermi level at 23.42 states/eV/f.u. The calculation puts the calculated total energy at -5.224 eV/atom. The calculation puts the formation energy from raw total energies at -1.253 eV per atom.

---

Computed, not measured: an optimized crystal structure of La2Nd3Pb3 at the GGA-PBE level of DFT.

The space group is P6_3/mcm (No. 193) and the conventional cell measures 9.4904, 9.4904 and 6.9591 Å, with angles of 90.00, 90.00 and 120.00 degrees. The asymmetric unit holds La at (0.3333, 0.6667, 0.0000), Nd at (0.0000, 0.2387, 0.2500) and Pb at (0.0000, 0.3914, 0.7500).

The calculated volume comes out at 542.82 Å³/cell. The calculation puts the density of states at the Fermi level at 8.20 states/eV/f.u. The calculation puts the calculated total energy at -4.952 eV/atom. As for the energy relative to the elements: -0.5420 eV/atom.

---

Computed, not measured: an optimized crystal structure of PrEuScCd at the GGA-PBE level of DFT.

The space group is F-43m (No. 216) and the conventional cell measures 7.825, 7.825 and 7.825 Å, with angles of 90.00, 90.00 and 90.00 degrees. The asymmetric unit holds Pr at (0.000, 0.000, 0.000), Eu at (0.000, 0.000, 0.500), Sc at (0.250, 0.250, 0.250) and Cd at (0.250, 0.250, 0.750).

The calculated volume comes out at 479.19 Å³/cell. The calculation puts the density of states at the Fermi level at 3.66 states/eV/f.u. The calculation puts the calculated total energy at -5.586 eV/atom. As for the energy relative to the elements: -0.0105 eV/atom.

---

Computed, not measured: an optimized crystal structure of Tl2SbTe4Pb at the GGA-PBE level of DFT.

The space group is P2/m (No. 10) and the conventional cell measures 7.946, 4.535 and 8.096 Å, with angles of 90.00, 109.11 and 90.00 degrees. The asymmetric unit holds Tl at (0.000, 0.000, 0.000), Tl at (0.500, 0.500, 0.000), Sb at (0.000, 0.500, 0.500), Te at (0.232, 0.000, 0.728), Te at (0.242, 0.500, 0.263) and Pb at (0.500, 0.000, 0.500).

The calculated volume comes out at 275.68 Å³/cell. The calculation puts the density of states at the Fermi level at 4.69 states/eV/f.u. The calculation puts the calculated total energy at -3.387 eV/atom. The calculation puts the formation energy from raw total energies at -0.246 eV per atom.